1:
DFT (PBE-GGA) results for a geometry-optimized YEr3Tm structure.

a b c (Å): 6.9713 8.5320 6.6414
angles (deg): 106.38 121.66 90.00
Element x y z (fractional)
Y1 0.5583 0.2338 0.1166
Y2 0.4417 0.7662 0.8834
Er1 0.9393 0.7575 0.8785
Er2 0.4051 0.6193 0.3097
Er3 0.9046 0.6193 0.3097
Er4 0.0607 0.2425 0.1215
Er5 0.5949 0.3807 0.6903
Er6 0.0954 0.3807 0.6903
Tm1 0.7560 0.9999 0.5119
Tm2 0.2440 0.0001 0.4881

Calculated values
SG ... C2/m, No. 12

2:
DFT (PBE-GGA) results for a geometry-optimized YEr3Tm structure.

a b c (Å): 9.5162 5.5643 6.2256
angles (deg): 90.00 70.90 90.00
Element x y z (fractional)
Tm1 0.3004 0.4500 0.7656
Tm2 0.6996 0.9500 0.2344
Y1 0.1015 0.4500 0.3658
Y2 0.8985 0.9500 0.6342
Er1 0.8990 0.4500 0.9699
Er2 0.6977 0.4500 0.5678
Er3 0.4986 0.9500 0.8341
Er4 0.5014 0.4500 0.1659
Er5 0.3023 0.9500 0.4322
Er6 0.1010 0.9500 0.0301

Calculated values
SG ... P2_1/m, No. 11

The structure shown above that is least stable: 1.